(1)
Here is NaPmEuGa after structural relaxation from the Alexandria database. Energies are from PBE.

## Properties
The calculation puts the final energy at -4.958 eV/atom. As for the density of states at the Fermi level: 38.65 states/eV/cell. The total magnetic moment comes out at 7.38 μB/f.u. The formation enthalpy at 0 K is -0.115 eV per atom. As for the theoretical density: 5.68 g cm⁻³.

Structure (CIF):
```
data_NaPmEuGa
_space_group_name_H-M_alt 'F -4 3 m'
_space_group_IT_number 216
_space_group_name_Hall 'F -4 2 3'
_cell_length_a 7.696
_cell_length_b 7.696
_cell_length_c 7.696
_cell_angle_alpha 90.00
_cell_angle_beta 90.00
_cell_angle_gamma 90.00
loop_
_atom_site_label
_atom_site_fract_x
_atom_site_fract_y
_atom_site_fract_z
Na1 0.000 0.000 0.000
Pm1 0.250 0.250 0.750
Eu1 0.250 0.250 0.250
Ga1 0.000 0.000 0.500
```


(2)
Here is TcSb2As after structural relaxation from the Alexandria database. Energies are from PBE.

## Properties
The calculation puts the final energy at -5.608 eV/atom. As for the density of states at the Fermi level: 1.98 states/eV/cell. The total magnetic moment comes out at 0.00 μB/f.u. The excess energy over the best structure of this formula in the dataset comes out at 154 meV per atom. As for the theoretical density: 8.59 g cm⁻³.

Structure (CIF):
```
data_TcSb2As
_space_group_name_H-M_alt 'P 4/m m m'
_space_group_IT_number 123
_space_group_name_Hall '-P 4 2'
_cell_length_a 3.304
_cell_length_b 3.304
_cell_length_c 7.376
_cell_angle_alpha 90.00
_cell_angle_beta 90.00
_cell_angle_gamma 90.00
loop_
_atom_site_label
_atom_site_fract_x
_atom_site_fract_y
_atom_site_fract_z
Tc1 0.000 0.000 0.000
Sb1 0.500 0.500 0.220
As1 0.000 0.000 0.500
```


(3)
Here is Pu2CCl2 after structural relaxation from the Alexandria database. Energies are from PBE.

## Properties
The calculation puts the final energy at -9.342 eV/atom. As for the density of states at the Fermi level: 52.73 states/eV/cell. The total magnetic moment comes out at 10.00 μB/f.u. As for the theoretical density: 8.17 g cm⁻³.

Structure (CIF):
```
data_Pu2CCl2
_space_group_name_H-M_alt 'R -3 m'
_space_group_IT_number 166
_space_group_name_Hall '-R 3 2"'
_cell_length_a 3.6082
_cell_length_b 3.6082
_cell_length_c 30.8798
_cell_angle_alpha 90.00
_cell_angle_beta 90.00
_cell_angle_gamma 120.00
loop_
_atom_site_label
_atom_site_fract_x
_atom_site_fract_y
_atom_site_fract_z
Pu1 0.0000 0.0000 0.1208
C1 0.0000 0.0000 0.5000
Cl1 0.0000 0.0000 0.3924
```


(4)
Here is Pb2CS after structural relaxation from the Alexandria database. Energies are from PBE.

## Properties
The calculation puts the final energy at -4.403 eV/atom. As for the density of states at the Fermi level: 8.19 states/eV/cell. The total magnetic moment comes out at 0.00 μB/f.u. The excess energy over the best structure of this formula in the dataset comes out at 0 meV per atom. As for the theoretical density: 7.33 g cm⁻³.

Structure (CIF):
```
data_Pb2CS
_space_group_name_H-M_alt 'I -4 2 d'
_space_group_IT_number 122
_space_group_name_Hall 'I -4 2bw'
_cell_length_a 6.458
_cell_length_b 6.458
_cell_length_c 9.957
_cell_angle_alpha 90.00
_cell_angle_beta 90.00
_cell_angle_gamma 90.00
loop_
_atom_site_label
_atom_site_fract_x
_atom_site_fract_y
_atom_site_fract_z
Pb1 0.192 0.250 0.125
C1 0.000 0.000 0.000
S1 0.000 0.000 0.500
```


(5)
Here is CdFe2SnHg after structural relaxation from the Alexandria database. Energies are from PBE.

## Properties
The calculation puts the final energy at -3.405 eV/atom. As for the density of states at the Fermi level: 6.23 states/eV/cell. The total magnetic moment comes out at 6.08 μB/f.u. The formation enthalpy at 0 K is 1.024 eV per atom. The excess energy over the best structure of this formula in the dataset comes out at 0 meV per atom. As for the theoretical density: 6.73 g cm⁻³.

Structure (CIF):
```
data_CdFe2SnHg
_space_group_name_H-M_alt 'P 4/m m m'
_space_group_IT_number 123
_space_group_name_Hall '-P 4 2'
_cell_length_a 4.976
_cell_length_b 4.976
_cell_length_c 5.418
_cell_angle_alpha 90.00
_cell_angle_beta 90.00
_cell_angle_gamma 90.00
loop_
_atom_site_label
_atom_site_fract_x
_atom_site_fract_y
_atom_site_fract_z
Cd1 0.000 0.000 0.000
Fe1 0.000 0.500 0.500
Sn1 0.000 0.000 0.500
Hg1 0.500 0.500 0.000
```


(6)
Here is Er5IrPb2 after structural relaxation from the Alexandria database. Energies are from PBE.

## Properties
The calculation puts the final energy at -5.051 eV/atom. As for the density of states at the Fermi level: 30.08 states/eV/cell. The total magnetic moment comes out at 0.00 μB/f.u. The formation enthalpy at 0 K is -0.164 eV per atom. The excess energy over the best structure of this formula in the dataset comes out at 440 meV per atom. As for the theoretical density: 8.00 g cm⁻³.

Structure (CIF):
```
data_Er5IrPb2
_space_group_name_H-M_alt 'C m c m'
_space_group_IT_number 63
_space_group_name_Hall '-C 2c 2'
_cell_length_a 5.560
_cell_length_b 15.952
_cell_length_c 13.510
_cell_angle_alpha 90.00
_cell_angle_beta 90.00
_cell_angle_gamma 90.00
loop_
_atom_site_label
_atom_site_fract_x
_atom_site_fract_y
_atom_site_fract_z
Er1 0.000 0.055 0.116
Er2 0.000 0.281 0.093
Er3 0.000 0.293 0.750
Ir1 0.000 0.176 0.250
Pb1 0.000 0.139 0.589
```


(7)
Here is Na2PmPb2 after structural relaxation from the Alexandria database. Energies are from PBE.

## Properties
The calculation puts the final energy at -3.195 eV/atom. As for the density of states at the Fermi level: 8.97 states/eV/cell. The total magnetic moment comes out at 0.00 μB/f.u. The formation enthalpy at 0 K is -0.234 eV per atom. As for the theoretical density: 6.80 g cm⁻³.

Structure (CIF):
```
data_Na2PmPb2
_space_group_name_H-M_alt 'R -3 m'
_space_group_IT_number 166
_space_group_name_Hall '-R 3 2"'
_cell_length_a 5.1441
_cell_length_b 5.1441
_cell_length_c 19.3474
_cell_angle_alpha 90.00
_cell_angle_beta 90.00
_cell_angle_gamma 120.00
loop_
_atom_site_label
_atom_site_fract_x
_atom_site_fract_y
_atom_site_fract_z
Na1 0.0000 0.0000 0.1991
Pm1 0.0000 0.0000 0.0000
Pb1 0.0000 0.0000 0.4114
```


(8)
Here is PrDy2GeN4 after structural relaxation from the Alexandria database. Energies are from PBE.

## Properties
The calculation puts the final energy at -7.563 eV/atom. As for the density of states at the Fermi level: 3.59 states/eV/cell. The total magnetic moment comes out at 0.00 μB/f.u. As for the theoretical density: 8.29 g cm⁻³.

Structure (CIF):
```
data_PrDy2GeN4
_space_group_name_H-M_alt 'C m c m'
_space_group_IT_number 63
_space_group_name_Hall '-C 2c 2'
_cell_length_a 3.553
_cell_length_b 11.522
_cell_length_c 11.632
_cell_angle_alpha 90.00
_cell_angle_beta 90.00
_cell_angle_gamma 90.00
loop_
_atom_site_label
_atom_site_fract_x
_atom_site_fract_y
_atom_site_fract_z
Pr1 0.000 0.098 0.250
Dy1 0.000 0.370 0.043
Ge1 0.000 0.164 0.750
N1 0.000 0.000 0.000
N2 0.000 0.268 0.626
N3 0.000 0.420 0.250
```


(9)
Here is PrNd8Tm6 after structural relaxation from the Alexandria database. Energies are from PBE.

## Properties
The calculation puts the final energy at -4.517 eV/atom. As for the density of states at the Fermi level: 68.29 states/eV/cell. The total magnetic moment comes out at 0.00 μB/f.u. The formation enthalpy at 0 K is 0.133 eV per atom. As for the theoretical density: 7.63 g cm⁻³.

Structure (CIF):
```
data_PrNd8Tm6
_space_group_name_H-M_alt 'R -3'
_space_group_IT_number 148
_space_group_name_Hall '-R 3'
_cell_length_a 9.0943
_cell_length_b 9.0943
_cell_length_c 21.0412
_cell_angle_alpha 90.00
_cell_angle_beta 90.00
_cell_angle_gamma 120.00
loop_
_atom_site_label
_atom_site_fract_x
_atom_site_fract_y
_atom_site_fract_z
Pr1 0.0000 0.0000 0.0000
Nd1 0.0000 0.0000 0.4221
Nd2 0.0803 0.5208 0.8060
Tm1 0.0412 0.8006 0.7056
```


(10)
Here is Ta2BeCl after structural relaxation from the Alexandria database. Energies are from PBE.

## Properties
The calculation puts the final energy at -7.192 eV/atom. As for the density of states at the Fermi level: 3.36 states/eV/cell. The total magnetic moment comes out at 0.00 μB/f.u. The excess energy over the best structure of this formula in the dataset comes out at 27 meV per atom. As for the theoretical density: 10.58 g cm⁻³.

Structure (CIF):
```
data_Ta2BeCl
_space_group_name_H-M_alt 'P m m m'
_space_group_IT_number 47
_cell_length_a 2.925
_cell_length_b 2.945
_cell_length_c 7.404
_cell_angle_alpha 90.00
_cell_angle_beta 90.00
_cell_angle_gamma 90.00
loop_
_space_group_symop_operation_xyz
'x,y,z'
'-x,-y,-z'
'-x,-y,z'
'x,y,-z'
'x,-y,-z'
'-x,y,z'
'-x,y,-z'
'x,-y,z'
loop_
_atom_site_label
_atom_site_fract_x
_atom_site_fract_y
_atom_site_fract_z
Ta1 0.000 0.000 0.210
Be1 0.500 0.500 0.000
Cl1 0.500 0.000 0.500
```